This record from the Alexandria database describes a relaxed TaInBi2O7 crystal. The functional is GGA-PBEsol.

Output
The size of the total moment is 0.0 μB per formula unit. Its raw formation energy is -1.852 eV/atom. Its total energy is -7.38 eV/atom.

abc: 7.449 7.582 10.667
angles: 90.00 90.00 90.00
Space group Imma (No. 74)
Symmetry-distinct sites (fractional):
Ta: 0.000 0.000 0.000 [4 per cell]
In: 0.250 0.250 0.250 [4 per cell]
Bi: 0.000 0.000 0.500 [4 per cell]
Bi: 0.250 0.250 0.750 [4 per cell]
O: 0.000 0.250 0.350 [4 per cell]
O: 0.000 0.250 0.629 [4 per cell]
O: 0.000 0.250 0.954 [4 per cell]
O: 0.197 0.024 0.126 [16 per cell]

---

This record from the Alexandria database describes a relaxed InBiP2Os crystal. The functional is GGA-PBEsol.

Output
The size of the total moment is 0.0 μB per formula unit. Its total energy is -4.52 eV/atom.

abc: 4.858 4.858 4.964
angles: 90.00 90.00 90.00
Space group P4/mmm (No. 123)
Symmetry-distinct sites (fractional):
In: 0.000 0.000 0.000 [1 per cell]
Bi: 0.500 0.500 0.500 [1 per cell]
P: 0.000 0.500 0.000 [2 per cell]
Os: 0.000 0.000 0.500 [1 per cell]

---

This record from the Alexandria database describes a relaxed In2BiP crystal. The functional is GGA-PBEsol.

Output
The size of the total moment is 0.0 μB per formula unit. Its total energy is -4.04 eV/atom.

abc: 6.303 6.303 12.397
angles: 90.00 90.00 90.00
Space group I-42d (No. 122)
Symmetry-distinct sites (fractional):
In: 0.206 0.250 0.125 [8 per cell]
Bi: 0.000 0.000 0.500 [4 per cell]
P: 0.000 0.000 0.000 [4 per cell]

---

This record from the Alexandria database describes a relaxed In2BiPb crystal. The functional is GGA-PBEsol.

Output
The size of the total moment is 0.0 μB per formula unit. Its total energy is -3.53 eV/atom.

abc: 7.628 7.628 7.628
angles: 90.00 90.00 90.00
Space group Fm-3m (No. 225)
Symmetry-distinct sites (fractional):
In: 0.250 0.250 0.250 [8 per cell]
Bi: 0.000 0.000 0.000 [4 per cell]
Pb: 0.000 0.000 0.500 [4 per cell]

---

This record from the Alexandria database describes a relaxed In4Bi3Pb crystal. The functional is GGA-PBEsol.

Output
The size of the total moment is 0.0 μB per formula unit. Its total energy is -3.58 eV/atom.

abc: 8.353 8.353 13.108
angles: 90.00 90.00 90.00
Space group I4/mcm (No. 140)
Symmetry-distinct sites (fractional):
In: 0.148 0.352 0.168 [16 per cell]
Bi: 0.000 0.000 0.250 [4 per cell]
Bi: 0.143 0.357 0.500 [8 per cell]
Pb: 0.000 0.000 0.000 [4 per cell]

---

This record from the Alexandria database describes a relaxed In2BiPb2 crystal. The functional is GGA-PBEsol.

Output
The size of the total moment is 0.0 μB per formula unit. Its total energy is -3.56 eV/atom.

abc: 8.974 8.974 3.574
angles: 90.00 90.00 90.00
Space group P4/mbm (No. 127)
Symmetry-distinct sites (fractional):
In: 0.161 0.339 0.000 [4 per cell]
Bi: 0.000 0.000 0.500 [2 per cell]
Pb: 0.139 0.639 0.500 [4 per cell]

---

This record from the Alexandria database describes a relaxed In3Bi7Pb4S18 crystal. The functional is GGA-PBEsol.

Output
The size of the total moment is 0.0 μB per formula unit. Its raw formation energy is -0.449 eV/atom. Its total energy is -4.63 eV/atom.

abc: 18.354 3.945 21.313
angles: 90.00 97.69 90.00
Space group P2_1/m (No. 11)
Symmetry-distinct sites (fractional):
In: 0.054 0.250 0.066 [2 per cell]
In: 0.125 0.750 0.215 [2 per cell]
In: 0.209 0.250 0.359 [2 per cell]
Bi: 0.098 0.750 0.511 [2 per cell]
Bi: 0.239 0.250 0.710 [2 per cell]
Bi: 0.278 0.750 0.042 [2 per cell]
Bi: 0.365 0.250 0.890 [2 per cell]
Bi: 0.429 0.750 0.729 [2 per cell]
Bi: 0.450 0.750 0.417 [2 per cell]
Bi: 0.472 0.250 0.085 [2 per cell]
Pb: 0.024 0.750 0.686 [2 per cell]
Pb: 0.129 0.750 0.866 [2 per cell]
Pb: 0.306 0.750 0.545 [2 per cell]
Pb: 0.346 0.750 0.246 [2 per cell]
S: 0.031 0.250 0.575 [2 per cell]
S: 0.032 0.250 0.187 [2 per cell]
S: 0.048 0.250 0.946 [2 per cell]
S: 0.109 0.750 0.333 [2 per cell]
S: 0.113 0.250 0.764 [2 per cell]
S: 0.146 0.750 0.094 [2 per cell]
S: 0.188 0.750 0.628 [2 per cell]
S: 0.197 0.250 0.479 [2 per cell]
S: 0.222 0.250 0.240 [2 per cell]
S: 0.240 0.250 0.945 [2 per cell]
S: 0.303 0.750 0.373 [2 per cell]
S: 0.303 0.750 0.800 [2 per cell]
S: 0.336 0.250 0.126 [2 per cell]
S: 0.366 0.250 0.642 [2 per cell]
S: 0.414 0.250 0.496 [2 per cell]
S: 0.417 0.750 0.997 [2 per cell]
S: 0.442 0.250 0.319 [2 per cell]
S: 0.489 0.250 0.810 [2 per cell]

---

This record from the Alexandria database describes a relaxed In2BiPd2 crystal. The functional is GGA-PBEsol.

Output
The size of the total moment is 0.0 μB per formula unit. Its total energy is -4.78 eV/atom.

abc: 7.904 7.904 3.171
angles: 90.00 90.00 90.00
Space group P4/mbm (No. 127)
Symmetry-distinct sites (fractional):
In: 0.151 0.349 0.000 [4 per cell]
Bi: 0.000 0.000 0.500 [2 per cell]
Pd: 0.143 0.643 0.500 [4 per cell]

---

This record from the Alexandria database describes a relaxed InBi3Pt crystal. The functional is GGA-PBEsol.

Output
The calculation puts the energy above the most stable polymorph in this dataset at 0 meV per atom. The size of the total moment is 0.0 μB per formula unit. Its total energy is -4.22 eV/atom.

abc: 5.410 5.410 5.410
angles: 90.00 90.00 90.00
Space group Pm-3m (No. 221)
Symmetry-distinct sites (fractional):
In: 0.000 0.000 0.000 [1 per cell]
Bi: 0.000 0.500 0.500 [3 per cell]
Pt: 0.500 0.500 0.500 [1 per cell]

---

This record from the Alexandria database describes a relaxed In2ReBi2 crystal. The functional is GGA-PBEsol.

Output
The size of the total moment is 3.1 μB per formula unit. Its total energy is -4.32 eV/atom.

abc: 4.161 4.161 16.085
angles: 90.00 90.00 90.00
Space group I4/mmm (No. 139)
Symmetry-distinct sites (fractional):
In: 0.000 0.000 0.085 [4 per cell]
Re: 0.000 0.000 0.500 [2 per cell]
Bi: 0.000 0.500 0.250 [4 per cell]

---

This record from the Alexandria database describes a relaxed In3ReBi crystal. The functional is GGA-PBEsol.

Output
The size of the total moment is 2.2 μB per formula unit. Its total energy is -4.62 eV/atom.

abc: 5.198 5.198 5.198
angles: 90.00 90.00 90.00
Space group Pm-3m (No. 221)
Symmetry-distinct sites (fractional):
In: 0.000 0.000 0.500 [3 per cell]
Re: 0.000 0.000 0.000 [1 per cell]
Bi: 0.500 0.500 0.500 [1 per cell]

---

This record from the Alexandria database describes a relaxed In2BiRh2 crystal. The functional is GGA-PBEsol.

Output
The size of the total moment is 0.0 μB per formula unit. Its total energy is -5.17 eV/atom.

abc: 4.621 4.621 10.026
angles: 90.00 90.00 90.00
Space group I4/mmm (No. 139)
Symmetry-distinct sites (fractional):
In: 0.000 0.000 0.137 [4 per cell]
Bi: 0.000 0.000 0.500 [2 per cell]
Rh: 0.000 0.500 0.250 [4 per cell]